Record 1
## TlCoCl2 (PBE)

Data for an optimized crystal structure of TlCoCl2.

Computed properties:
Raw formation energy: -1.6 eV per formula unit
Total magnetization: 2.0 μB/f.u.
Calculated density: 5808 kg/m3
ΔE to the lowest computed polymorph: 53.2 meV/atom

Cell and atoms, written as CIF:
```
data_TlCoCl2
_chemical_formula_sum 'Tl1 Co1 Cl2'
_symmetry_space_group_name_H-M 'P 1'
_symmetry_Int_Tables_number 1
_symmetry_space_group_name_Hall 'P 1'
_cell_length_a 5.458
_cell_length_b 3.474
_cell_length_c 5.504
_cell_angle_alpha 90.00
_cell_angle_beta 113.74
_cell_angle_gamma 90.00
loop_
_atom_site_label
_atom_site_fract_x
_atom_site_fract_y
_atom_site_fract_z
Tl1 0.000 0.000 0.000
Co1 0.500 0.000 0.500
Cl1 0.332 0.500 0.670
Cl2 0.668 0.500 0.330
```

Record 2
## MgGaTcO6 (PBE)

Data for an optimized crystal structure of MgGaTcO6.

Computed properties:
Raw formation energy: -14.8 eV per formula unit
Total magnetization: 0.0 μB/f.u.
Calculated density: 4847 kg/m3

Cell and atoms, written as CIF:
```
data_MgGaTcO6
_chemical_formula_sum 'Mg2 Ga2 Tc2 O12'
_symmetry_space_group_name_H-M 'P 1'
_symmetry_Int_Tables_number 1
_symmetry_space_group_name_Hall 'P 1'
_cell_length_a 4.689
_cell_length_b 4.689
_cell_length_c 8.974
_cell_angle_alpha 90.00
_cell_angle_beta 90.00
_cell_angle_gamma 90.00
loop_
_atom_site_label
_atom_site_fract_x
_atom_site_fract_y
_atom_site_fract_z
Mg1 0.000 0.000 0.000
Mg2 0.500 0.500 0.500
Ga1 0.000 0.000 0.327
Ga2 0.500 0.500 0.827
Tc1 0.000 0.000 0.666
Tc2 0.500 0.500 0.166
O1 0.186 0.186 0.503
O2 0.201 0.201 0.811
O3 0.210 0.210 0.169
O4 0.290 0.710 0.669
O5 0.299 0.701 0.311
O6 0.314 0.686 0.003
O7 0.686 0.314 0.003
O8 0.701 0.299 0.311
O9 0.710 0.290 0.669
O10 0.790 0.790 0.169
O11 0.799 0.799 0.811
O12 0.814 0.814 0.503
```

Record 3
## LaHS2 (PBE)

Data for an optimized crystal structure of LaHS2.

Computed properties:
Total magnetization: 0.0 μB/f.u.
Calculated density: 3689 kg/m3
ΔE to the lowest computed polymorph: 784.6 meV/atom

Cell and atoms, written as CIF:
```
data_LaHS2
_chemical_formula_sum 'La4 H4 S8'
_symmetry_space_group_name_H-M 'P 1'
_symmetry_Int_Tables_number 1
_symmetry_space_group_name_Hall 'P 1'
_cell_length_a 5.615
_cell_length_b 5.615
_cell_length_c 11.652
_cell_angle_alpha 90.00
_cell_angle_beta 90.00
_cell_angle_gamma 90.00
loop_
_atom_site_label
_atom_site_fract_x
_atom_site_fract_y
_atom_site_fract_z
La1 0.000 0.000 0.000
La2 0.000 0.500 0.250
La3 0.500 0.000 0.750
La4 0.500 0.500 0.500
H1 0.000 0.000 0.500
H2 0.000 0.500 0.750
H3 0.500 0.000 0.250
H4 0.500 0.500 0.000
S1 0.168 0.250 0.625
S2 0.250 0.668 0.875
S3 0.250 0.832 0.375
S4 0.332 0.250 0.125
S5 0.668 0.750 0.125
S6 0.750 0.168 0.375
S7 0.750 0.332 0.875
S8 0.832 0.750 0.625
```

Record 4
## Ta4Zn (PBE)

Data for an optimized crystal structure of Ta4Zn.

Computed properties:
Total magnetization: 0.0 μB/f.u.
Calculated density: 14792 kg/m3
ΔE to the lowest computed polymorph: 0.0 meV/atom

Cell and atoms, written as CIF:
```
data_Ta4Zn
_chemical_formula_sum 'Ta8 Zn2'
_symmetry_space_group_name_H-M 'P 1'
_symmetry_Int_Tables_number 1
_symmetry_space_group_name_Hall 'P 1'
_cell_length_a 7.173
_cell_length_b 7.173
_cell_length_c 3.443
_cell_angle_alpha 90.00
_cell_angle_beta 90.00
_cell_angle_gamma 90.00
loop_
_atom_site_label
_atom_site_fract_x
_atom_site_fract_y
_atom_site_fract_z
Ta1 0.093 0.702 0.000
Ta2 0.202 0.407 0.500
Ta3 0.298 0.093 0.000
Ta4 0.407 0.798 0.500
Ta5 0.593 0.202 0.500
Ta6 0.702 0.907 0.000
Ta7 0.798 0.593 0.500
Ta8 0.907 0.298 0.000
Zn1 0.000 0.000 0.500
Zn2 0.500 0.500 0.000
```

Record 5
## Er2InPt (PBE)

Data for an optimized crystal structure of Er2InPt.

Computed properties:
Total magnetization: 0.0 μB/f.u.
Calculated density: 11379 kg/m3
ΔE to the lowest computed polymorph: 0.0 meV/atom

Cell and atoms, written as CIF:
```
data_Er2InPt
_chemical_formula_sum 'Er2 In1 Pt1'
_symmetry_space_group_name_H-M 'P 1'
_symmetry_Int_Tables_number 1
_symmetry_space_group_name_Hall 'P 1'
_cell_length_a 3.496
_cell_length_b 3.496
_cell_length_c 7.694
_cell_angle_alpha 90.00
_cell_angle_beta 90.00
_cell_angle_gamma 90.00
loop_
_atom_site_label
_atom_site_fract_x
_atom_site_fract_y
_atom_site_fract_z
Er1 0.000 0.000 0.218
Er2 0.000 0.000 0.782
In1 0.500 0.500 0.500
Pt1 0.500 0.500 0.000
```

Record 6
## BeBNF2 (PBE)

Data for an optimized crystal structure of BeBNF2.

Computed properties:
Raw formation energy: -1.7 eV per formula unit
Total magnetization: 0.2 μB/f.u.
Calculated density: 2185 kg/m3
ΔE to the lowest computed polymorph: 105.2 meV/atom

Cell and atoms, written as CIF:
```
data_BeBNF2
_chemical_formula_sum 'Be1 B1 N1 F2'
_symmetry_space_group_name_H-M 'P 1'
_symmetry_Int_Tables_number 1
_symmetry_space_group_name_Hall 'P 1'
_cell_length_a 2.979
_cell_length_b 2.979
_cell_length_c 6.149
_cell_angle_alpha 90.00
_cell_angle_beta 90.00
_cell_angle_gamma 90.00
loop_
_atom_site_label
_atom_site_fract_x
_atom_site_fract_y
_atom_site_fract_z
Be1 0.000 0.000 0.000
B1 0.500 0.500 0.500
N1 0.000 0.000 0.500
F1 0.000 0.500 0.000
F2 0.500 0.000 0.000
```

Record 7
## ZrAgB (PBE)

Data for an optimized crystal structure of ZrAgB.

Computed properties:
Total magnetization: 0.0 μB/f.u.
Calculated density: 7520 kg/m3
Final energy: -6.486 eV per atom

Cell and atoms, written as CIF:
```
data_ZrAgB
_chemical_formula_sum 'Zr2 Ag2 B2'
_symmetry_space_group_name_H-M 'P 1'
_symmetry_Int_Tables_number 1
_symmetry_space_group_name_Hall 'P 1'
_cell_length_a 10.783
_cell_length_b 10.783
_cell_length_c 10.783
_cell_angle_alpha 16.93
_cell_angle_beta 16.93
_cell_angle_gamma 16.93
loop_
_atom_site_label
_atom_site_fract_x
_atom_site_fract_y
_atom_site_fract_z
Zr1 0.054 0.054 0.054
Zr2 0.946 0.946 0.946
Ag1 0.203 0.203 0.203
Ag2 0.797 0.797 0.797
B1 0.334 0.334 0.334
B2 0.666 0.666 0.666
```

Record 8
## BeVI2N (PBE)

Data for an optimized crystal structure of BeVI2N.

Computed properties:
Raw formation energy: 3.1 eV per formula unit
Total magnetization: 4.3 μB/f.u.
Calculated density: 5470 kg/m3
ΔE to the lowest computed polymorph: 107.7 meV/atom

Cell and atoms, written as CIF:
```
data_BeVI2N
_chemical_formula_sum 'Be1 V1 I2 N1'
_symmetry_space_group_name_H-M 'P 1'
_symmetry_Int_Tables_number 1
_symmetry_space_group_name_Hall 'P 1'
_cell_length_a 5.488
_cell_length_b 5.488
_cell_length_c 3.304
_cell_angle_alpha 90.00
_cell_angle_beta 90.00
_cell_angle_gamma 90.00
loop_
_atom_site_label
_atom_site_fract_x
_atom_site_fract_y
_atom_site_fract_z
Be1 0.000 0.000 0.000
V1 0.500 0.500 0.500
I1 0.000 0.500 0.000
I2 0.500 0.000 0.000
N1 0.000 0.000 0.500
```